Below is a geometry-optimized AcDyAgPt structure, with properties calculated at the PBE level.

Summary:
The space group is No. 216. The formation enthalpy at 0 K comes out at -0.639 eV per atom. The calculation puts the raw total energy at -20.16 eV/cell. The total magnetization comes out at 0.0 μB/cell. The density of states at the Fermi level comes out at 3.1 states/eV/f.u.

The structure in extended XYZ format:
```
4
Lattice="0.000 3.720 3.720 3.720 0.000 3.720 3.720 3.720 0.000" Properties=species:S:1:pos:R:3 pbc="T T T"
Ac 0.000 0.000 0.000
Dy 3.720 3.720 3.720
Ag 5.579 5.579 5.579
Pt 1.860 1.860 1.860
```